1.
Material: CaOsRu2
Method: DFT, GGA-PBE
State: relaxed

Properties
E above lowest polymorph = 0 meV per atom
formation energy from the elements = 0.353 eV/atom

Unit cell a=2.866 b=2.866 c=8.179 alpha=90.00 beta=90.00 gamma=90.00
Space group P4/mmm (No. 123)
One atom of each set of equivalent atoms:
Ca1 0.000 0.000 0.000 [1 per cell]
Os1 0.000 0.000 0.500 [1 per cell]
Ru1 0.500 0.500 0.291 [2 per cell]

=====

2.
Material: CaOsRu2
Method: DFT, GGA-PBE
State: relaxed

Properties
E above lowest polymorph = 41 meV per atom
formation energy from the elements = 0.394 eV/atom

Unit cell a=10.528 b=2.805 c=4.850 alpha=90.00 beta=115.02 gamma=90.00
Space group Cm (No. 8)
One atom of each set of equivalent atoms:
Ca1 0.000 0.000 0.000 [2 per cell]
Os1 0.227 0.000 0.602 [2 per cell]
Ru1 0.001 0.500 0.519 [2 per cell]
Ru2 0.276 0.500 0.173 [2 per cell]

=====

3.
Material: CaSi2OsRu
Method: DFT, GGA-PBE
State: relaxed

Properties
energy relative to the elements, uncorrected = -3.17 eV/f.u.

Unit cell a=4.213 b=4.213 c=9.661 alpha=90.00 beta=90.00 gamma=90.00
Space group I-4m2 (No. 119)
One atom of each set of equivalent atoms:
Ca1 0.000 0.000 0.000 [2 per cell]
Si1 0.000 0.000 0.367 [4 per cell]
Os1 0.000 0.500 0.750 [2 per cell]
Ru1 0.000 0.500 0.250 [2 per cell]

=====

4.
Material: CaOs2S2
Method: DFT, GGA-PBE
State: relaxed

Properties
E above lowest polymorph = 0 meV per atom
energy relative to the elements, uncorrected = -0.83 eV/f.u.

Unit cell a=4.378 b=4.378 c=8.868 alpha=90.00 beta=90.00 gamma=90.00
Space group I4/mmm (No. 139)
One atom of each set of equivalent atoms:
Ca1 0.000 0.000 0.000 [2 per cell]
Os1 0.000 0.000 0.355 [4 per cell]
S1 0.000 0.500 0.250 [4 per cell]

=====

5.
Material: CaOsS3
Method: DFT, GGA-PBE
State: relaxed

Properties
E above lowest polymorph = 1684 meV per atom
energy relative to the elements, uncorrected = 6.72 eV/f.u.

Unit cell a=5.080 b=5.080 c=5.080 alpha=90.00 beta=90.00 gamma=90.00
Space group Pm-3m (No. 221)
One atom of each set of equivalent atoms:
Ca1 0.000 0.000 0.000 [1 per cell]
Os1 0.500 0.500 0.500 [1 per cell]
S1 0.000 0.000 0.500 [3 per cell]

=====

6.
Material: CaOs2S2
Method: DFT, GGA-PBE
State: relaxed

Properties
E above lowest polymorph = 233 meV per atom
energy relative to the elements, uncorrected = 0.34 eV/f.u.

Unit cell a=7.512 b=7.512 c=4.175 alpha=90.00 beta=90.00 gamma=90.00
Space group P4/mbm (No. 127)
One atom of each set of equivalent atoms:
Ca1 0.000 0.000 0.000 [2 per cell]
Os1 0.108 0.392 0.000 [4 per cell]
S1 0.176 0.324 0.500 [4 per cell]

=====

7.
Material: CaOsS3
Method: DFT, GGA-PBE
State: relaxed

Properties
E above lowest polymorph = 0 meV per atom
energy relative to the elements, uncorrected = -1.70 eV/f.u.

Unit cell a=4.704 b=4.704 c=4.704 alpha=90.00 beta=90.00 gamma=90.00
Space group Pm-3m (No. 221)
One atom of each set of equivalent atoms:
Ca1 0.000 0.000 0.000 [1 per cell]
Os1 0.500 0.500 0.500 [1 per cell]
S1 0.000 0.500 0.500 [3 per cell]

=====

8.
Material: Ca2OsS
Method: DFT, GGA-PBE
State: relaxed

Properties
energy relative to the elements, uncorrected = 0.41 eV/f.u.

Unit cell a=7.631 b=7.631 c=6.189 alpha=90.00 beta=90.00 gamma=90.00
Space group I-42d (No. 122)
One atom of each set of equivalent atoms:
Ca1 0.231 0.750 0.125 [8 per cell]
Os1 0.000 0.000 0.500 [4 per cell]
S1 0.000 0.000 0.000 [4 per cell]

=====

9.
Material: Ca2OsSeS
Method: DFT, GGA-PBE
State: relaxed

Properties
energy relative to the elements, uncorrected = -2.02 eV/f.u.

Unit cell a=5.578 b=5.578 c=4.472 alpha=90.00 beta=90.00 gamma=90.00
Space group P4/mmm (No. 123)
One atom of each set of equivalent atoms:
Ca1 0.000 0.500 0.000 [2 per cell]
Os1 0.000 0.000 0.000 [1 per cell]
Se1 0.000 0.000 0.500 [1 per cell]
S1 0.500 0.500 0.500 [1 per cell]

=====

10.
Material: CaSnOsS2
Method: DFT, GGA-PBE
State: relaxed

Properties
energy relative to the elements, uncorrected = 6.51 eV/f.u.

Unit cell a=5.010 b=5.010 c=6.074 alpha=90.00 beta=90.00 gamma=90.00
Space group P4/mmm (No. 123)
One atom of each set of equivalent atoms:
Ca1 0.000 0.000 0.000 [1 per cell]
Sn1 0.000 0.000 0.500 [1 per cell]
Os1 0.500 0.500 0.500 [1 per cell]
S1 0.000 0.500 0.000 [2 per cell]

=====

11.
Material: CaTi2OsS
Method: DFT, GGA-PBE
State: relaxed

Properties
energy relative to the elements, uncorrected = 10.83 eV/f.u.

Unit cell a=4.768 b=4.768 c=4.628 alpha=90.00 beta=90.00 gamma=90.00
Space group P4/mmm (No. 123)
One atom of each set of equivalent atoms:
Ca1 0.000 0.000 0.000 [1 per cell]
Ti1 0.000 0.500 0.000 [2 per cell]
Os1 0.000 0.000 0.500 [1 per cell]
S1 0.500 0.500 0.500 [1 per cell]

=====

12.
Material: CaTlOs2S
Method: DFT, GGA-PBE
State: relaxed

Properties
energy relative to the elements, uncorrected = 10.64 eV/f.u.

Unit cell a=5.207 b=5.207 c=5.120 alpha=90.00 beta=90.00 gamma=90.00
Space group P4/mmm (No. 123)
One atom of each set of equivalent atoms:
Ca1 0.000 0.000 0.000 [1 per cell]
Tl1 0.500 0.500 0.500 [1 per cell]
Os1 0.000 0.500 0.000 [2 per cell]
S1 0.000 0.000 0.500 [1 per cell]

=====

no.,calculated total energy (eV per formula unit),M_tot (μB per formula unit)
1,-30.4,0.00
2,-30.2,0.00
3,-36.5,0.00
4,-33.5,0.00
5,-18.9,3.40
6,-32.4,0.00
7,-27.3,2.10
8,-19.0,0.96
9,-24.9,0.00
10,-19.0,3.85
11,-22.3,0.00
12,-20.3,6.01